Entry 1:
This record from Alexandria via LeMat-Bulk describes an optimized crystal structure of BaLaAg3. The functional is GGA-PBE.

Calculated values
DFT formation energy   -0.247 eV/atom
E_tot   -0.2446 Ry/atom
Polymorph energy (0 for the lowest one)   0 meV/atom

Unit cell a=4.150 b=29.338 c=4.886 alpha=90.00 beta=90.00 gamma=90.00
Space group Cmcm (No. 63)
Unique sites:
Ba: 0.000 0.075 0.250
La: 0.000 0.208 0.750
Ag: 0.000 0.320 0.750
Ag: 0.000 0.376 0.250
Ag: 0.000 0.475 0.250

Entry 2:
This record from Alexandria via LeMat-Bulk describes an optimized crystal structure of CoMo2Pt. The functional is GGA-PBE.

Calculated values
DFT formation energy   -0.036 eV/atom
E_tot   -0.6423 Ry/atom
Polymorph energy (0 for the lowest one)   103 meV/atom

Unit cell a=8.938 b=2.705 c=4.856 alpha=90.00 beta=99.21 gamma=90.00
Space group Cm (No. 8)
Unique sites:
Co: 0.000 0.000 0.000
Mo: 0.001 0.500 0.511
Mo: 0.259 0.000 0.802
Pt: 0.249 0.500 0.276